Entry 1:
Below is a relaxed structure of CrNiBi3, with properties calculated at the PBE level.

Calculated values
**Volume**: 133 Å³/cell
**Raw total energy**: -22.644 eV for the cell shown
**DOS at the Fermi energy**: 4.24 states/eV/f.u.
**SG**: Pm-3m, No. 221
**Formation energy**: 0.881 eV/atom
**M_tot**: 0.000 μB per atom

```
data_CrNiBi3
_chemical_formula_sum 'Cr1 Ni1 Bi3'
_space_group_name_H-M_alt 'P 1'
_space_group_IT_number 1
_cell_length_a 5.1095
_cell_length_b 5.1095
_cell_length_c 5.1095
_cell_angle_alpha 90.00
_cell_angle_beta 90.00
_cell_angle_gamma 90.00
loop_
_space_group_symop_operation_xyz
'x,y,z'
loop_
_atom_site_label
_atom_site_type_symbol
_atom_site_fract_x
_atom_site_fract_y
_atom_site_fract_z
_atom_site_occupancy
Ni1 Ni 0.5000 0.5000 0.5000 1
Bi1 Bi 0.0000 0.0000 0.5000 1
Bi2 Bi 0.5000 0.0000 0.0000 1
Bi3 Bi 0.0000 0.5000 0.0000 1
Cr1 Cr 0.0000 0.0000 0.0000 1
```

---

Entry 2:
Below is a relaxed structure of TlGa4O8, with properties calculated at the PBE level.

Calculated values
**E_form (uncorrected)**: -1.334 eV/atom
**Volume**: 168 Å³/cell
**Raw total energy**: -71.486 eV for the cell shown
**DOS at the Fermi energy**: 4.98 states/eV/f.u.
**SG**: R-3m, No. 166
**M_tot**: 0.080 μB per atom

```
data_TlGa4O8
_chemical_formula_sum 'Tl1 Ga4 O8'
_space_group_name_H-M_alt 'P 1'
_space_group_IT_number 1
_cell_length_a 6.0045
_cell_length_b 6.0045
_cell_length_c 6.4047
_cell_angle_alpha 90.00
_cell_angle_beta 117.95
_cell_angle_gamma 120.00
loop_
_space_group_symop_operation_xyz
'x,y,z'
loop_
_atom_site_label
_atom_site_type_symbol
_atom_site_fract_x
_atom_site_fract_y
_atom_site_fract_z
_atom_site_occupancy
O1 O 0.9598 0.2353 0.1951 1
O2 O 0.4706 0.2353 0.1951 1
O3 O 0.0402 0.7647 0.8049 1
O4 O 0.9598 0.7246 0.1951 1
O5 O 0.5294 0.7647 0.8049 1
O6 O 0.5467 0.2733 0.8200 1
O7 O 0.4533 0.7267 0.1800 1
O8 O 0.0402 0.2754 0.8049 1
Ga1 Ga 0.0000 0.0000 0.0000 1
Ga2 Ga 0.5000 0.0000 0.0000 1
Ga3 Ga 0.0000 0.5000 0.0000 1
Ga4 Ga 0.5000 0.5000 0.0000 1
Tl1 Tl 0.0000 0.5000 0.5000 1
```

---

Entry 3:
Below is a relaxed structure of Pr7YTl2, with properties calculated at the PBE level.

Calculated values
**Volume**: 419 Å³/cell
**Raw total energy**: -41.464 eV for the cell shown
**DOS at the Fermi energy**: 20.15 states/eV/f.u.
**SG**: Cmmm, No. 65
**Formation energy**: 0.319 eV/atom
**M_tot**: 0.000 μB per atom

```
data_Pr7YTl2
_chemical_formula_sum 'Pr7 Y1 Tl2'
_space_group_name_H-M_alt 'P 1'
_space_group_IT_number 1
_cell_length_a 5.4257
_cell_length_b 9.4336
_cell_length_c 9.4336
_cell_angle_alpha 119.81
_cell_angle_beta 90.00
_cell_angle_gamma 90.00
loop_
_space_group_symop_operation_xyz
'x,y,z'
loop_
_atom_site_label
_atom_site_type_symbol
_atom_site_fract_x
_atom_site_fract_y
_atom_site_fract_z
_atom_site_occupancy
Tl1 Tl 0.5000 0.6931 0.3069 1
Tl2 Tl 0.5000 0.3069 0.6931 1
Pr1 Pr 0.5000 0.6987 0.9380 1
Pr2 Pr 0.5000 0.0620 0.3012 1
Pr3 Pr 0.5000 0.9380 0.6988 1
Pr4 Pr 0.5000 0.5000 0.5000 1
Pr5 Pr 0.0000 0.7765 0.2235 1
Pr6 Pr 0.0000 0.2235 0.7765 1
Pr7 Pr 0.5000 0.3013 0.0620 1
Y1 Y 0.0000 0.0000 0.0000 1
```

---

Entry 4:
Below is a relaxed structure of Na3Tm2PuO6, with properties calculated at the PBE level.

Calculated values
**E_form (uncorrected)**: -2.679 eV/atom
**Volume**: 170 Å³/cell
**Raw total energy**: -89.125 eV for the cell shown
**DOS at the Fermi energy**: 6.56 states/eV/f.u.
**SG**: C2/m, No. 12
**M_tot**: 0.417 μB per atom

```
data_Na3Tm2PuO6
_chemical_formula_sum 'Na3 Tm2 Pu1 O6'
_space_group_name_H-M_alt 'P 1'
_space_group_IT_number 1
_cell_length_a 5.9296
_cell_length_b 5.9296
_cell_length_c 5.9232
_cell_angle_alpha 99.59
_cell_angle_beta 99.59
_cell_angle_gamma 120.01
loop_
_space_group_symop_operation_xyz
'x,y,z'
loop_
_atom_site_label
_atom_site_type_symbol
_atom_site_fract_x
_atom_site_fract_y
_atom_site_fract_z
_atom_site_occupancy
Tm1 Tm 0.6665 0.3335 0.0000 1
Tm2 Tm 0.3335 0.6665 0.0000 1
O1 O 0.7260 0.7260 0.2116 1
O2 O 0.5858 0.9300 0.7897 1
O3 O 0.2740 0.2740 0.7884 1
O4 O 0.9300 0.5858 0.7897 1
O5 O 0.0700 0.4142 0.2103 1
O6 O 0.4142 0.0700 0.2103 1
Na1 Na 0.5000 0.5000 0.5000 1
Na2 Na 0.1700 0.8300 0.5000 1
Na3 Na 0.8300 0.1700 0.5000 1
Pu1 Pu 0.0000 0.0000 0.0000 1
```

---

Entry 5:
Below is a relaxed structure of CaZn3Au3, with properties calculated at the PBE level.

Calculated values
**Volume**: 355 Å³/cell
**Raw total energy**: -32.484 eV for the cell shown
**DOS at the Fermi energy**: 3.57 states/eV/f.u.
**SG**: Pm-3n, No. 223
**Formation energy**: -0.084 eV/atom
**M_tot**: 0.000 μB per atom

```
data_CaZn3Au3
_chemical_formula_sum 'Ca2 Zn6 Au6'
_space_group_name_H-M_alt 'P 1'
_space_group_IT_number 1
_cell_length_a 7.0794
_cell_length_b 7.0794
_cell_length_c 7.0794
_cell_angle_alpha 90.00
_cell_angle_beta 90.00
_cell_angle_gamma 90.00
loop_
_space_group_symop_operation_xyz
'x,y,z'
loop_
_atom_site_label
_atom_site_type_symbol
_atom_site_fract_x
_atom_site_fract_y
_atom_site_fract_z
_atom_site_occupancy
Ca1 Ca 0.0000 0.0000 0.0000 1
Ca2 Ca 0.5000 0.5000 0.5000 1
Au1 Au 0.0000 0.2500 0.5000 1
Au2 Au 0.0000 0.7500 0.5000 1
Au3 Au 0.5000 0.0000 0.7500 1
Au4 Au 0.7500 0.5000 0.0000 1
Au5 Au 0.5000 0.0000 0.2500 1
Au6 Au 0.2500 0.5000 0.0000 1
Zn1 Zn 0.2500 0.0000 0.5000 1
Zn2 Zn 0.5000 0.2500 0.0000 1
Zn3 Zn 0.5000 0.7500 0.0000 1
Zn4 Zn 0.0000 0.5000 0.7500 1
Zn5 Zn 0.0000 0.5000 0.2500 1
Zn6 Zn 0.7500 0.0000 0.5000 1
```

---

Entry 6:
Below is a relaxed structure of Cs2NdB2S6, with properties calculated at the PBE level.

Calculated values
**E_form (uncorrected)**: -0.977 eV/atom
**Volume**: 330 Å³/cell
**Raw total energy**: -55.344 eV for the cell shown
**DOS at the Fermi energy**: 5.38 states/eV/f.u.
**SG**: C2/m, No. 12
**M_tot**: 0.000 μB per atom

```
data_Cs2NdB2S6
_chemical_formula_sum 'Cs2 Nd1 B2 S6'
_space_group_name_H-M_alt 'P 1'
_space_group_IT_number 1
_cell_length_a 6.8820
_cell_length_b 6.8821
_cell_length_c 8.9720
_cell_angle_alpha 112.50
_cell_angle_beta 90.00
_cell_angle_gamma 120.00
loop_
_space_group_symop_operation_xyz
'x,y,z'
loop_
_atom_site_label
_atom_site_type_symbol
_atom_site_fract_x
_atom_site_fract_y
_atom_site_fract_z
_atom_site_occupancy
Cs1 Cs 0.7095 0.4190 0.1283 1
Cs2 Cs 0.2905 0.5810 0.8717 1
S1 S 0.7572 0.9703 0.7274 1
S2 S 0.2429 0.4858 0.2728 1
S3 S 0.7571 0.5142 0.7272 1
S4 S 0.2428 0.0297 0.2726 1
S5 S 0.2130 0.9703 0.7274 1
S6 S 0.7870 0.0297 0.2726 1
B1 B 0.0950 0.1900 0.2851 1
B2 B 0.9050 0.8100 0.7149 1
Nd1 Nd 0.5000 0.0000 0.5000 1
```

---

Entry 7:
Below is a relaxed structure of RbCdSi2Tc, with properties calculated at the PBE level.

Calculated values
**E_form (uncorrected)**: 0.037 eV/atom
**Volume**: 121 Å³/cell
**Raw total energy**: -22.908 eV for the cell shown
**DOS at the Fermi energy**: 0.62 states/eV/f.u.
**SG**: P4/mmm, No. 123
**M_tot**: 0.000 μB per atom

```
data_RbCdSi2Tc
_chemical_formula_sum 'Rb1 Cd1 Si2 Tc1'
_space_group_name_H-M_alt 'P 1'
_space_group_IT_number 1
_cell_length_a 4.7148
_cell_length_b 4.7148
_cell_length_c 5.4440
_cell_angle_alpha 90.00
_cell_angle_beta 90.00
_cell_angle_gamma 90.00
loop_
_space_group_symop_operation_xyz
'x,y,z'
loop_
_atom_site_label
_atom_site_type_symbol
_atom_site_fract_x
_atom_site_fract_y
_atom_site_fract_z
_atom_site_occupancy
Tc1 Tc 0.0000 0.0000 0.0000 1
Si1 Si 0.0000 0.5000 0.0000 1
Si2 Si 0.5000 0.0000 0.0000 1
Rb1 Rb 0.5000 0.5000 0.5000 1
Cd1 Cd 0.0000 0.0000 0.5000 1
```

---

Entry 8:
Below is a relaxed structure of CdRhN3, with properties calculated at the PBE level.

Calculated values
**E_form (uncorrected)**: 2.808 eV/atom
**Volume**: 67 Å³/cell
**Raw total energy**: -19.205 eV for the cell shown
**DOS at the Fermi energy**: 5.53 states/eV/f.u.
**SG**: Pm-3m, No. 221
**M_tot**: 0.000 μB per atom

```
data_CdRhN3
_chemical_formula_sum 'Cd1 Rh1 N3'
_space_group_name_H-M_alt 'P 1'
_space_group_IT_number 1
_cell_length_a 4.0565
_cell_length_b 4.0565
_cell_length_c 4.0565
_cell_angle_alpha 90.00
_cell_angle_beta 90.00
_cell_angle_gamma 90.00
loop_
_space_group_symop_operation_xyz
'x,y,z'
loop_
_atom_site_label
_atom_site_type_symbol
_atom_site_fract_x
_atom_site_fract_y
_atom_site_fract_z
_atom_site_occupancy
N1 N 0.5000 0.0000 0.0000 1
N2 N 0.0000 0.0000 0.5000 1
N3 N 0.0000 0.5000 0.0000 1
Rh1 Rh 0.5000 0.5000 0.5000 1
Cd1 Cd 0.0000 0.0000 0.0000 1
```

---

Entry 9:
Below is a relaxed structure of Tc2NiTe, with properties calculated at the PBE level.

Calculated values
**E_form (uncorrected)**: 0.599 eV/atom
**Volume**: 64 Å³/cell
**Raw total energy**: -27.258 eV for the cell shown
**DOS at the Fermi energy**: 5.49 states/eV/f.u.
**SG**: R-3m, No. 166
**M_tot**: 0.004 μB per atom

```
data_Tc2NiTe
_chemical_formula_sum 'Tc2 Ni1 Te1'
_space_group_name_H-M_alt 'P 1'
_space_group_IT_number 1
_cell_length_a 8.1942
_cell_length_b 8.1942
_cell_length_c 8.1942
_cell_angle_alpha 21.30
_cell_angle_beta 21.30
_cell_angle_gamma 21.30
loop_
_space_group_symop_operation_xyz
'x,y,z'
loop_
_atom_site_label
_atom_site_type_symbol
_atom_site_fract_x
_atom_site_fract_y
_atom_site_fract_z
_atom_site_occupancy
Te1 Te 0.2500 0.2500 0.2500 1
Tc1 Tc 0.4962 0.4962 0.4962 1
Tc2 Tc 0.0038 0.0038 0.0038 1
Ni1 Ni 0.7500 0.7500 0.7500 1
```

---

Please write out number 9 again, unchanged.
Below is a relaxed structure of Tc2NiTe, with properties calculated at the PBE level.

Calculated values
**E_form (uncorrected)**: 0.599 eV/atom
**Volume**: 64 Å³/cell
**Raw total energy**: -27.258 eV for the cell shown
**DOS at the Fermi energy**: 5.49 states/eV/f.u.
**SG**: R-3m, No. 166
**M_tot**: 0.004 μB per atom

```
data_Tc2NiTe
_chemical_formula_sum 'Tc2 Ni1 Te1'
_space_group_name_H-M_alt 'P 1'
_space_group_IT_number 1
_cell_length_a 8.1942
_cell_length_b 8.1942
_cell_length_c 8.1942
_cell_angle_alpha 21.30
_cell_angle_beta 21.30
_cell_angle_gamma 21.30
loop_
_space_group_symop_operation_xyz
'x,y,z'
loop_
_atom_site_label
_atom_site_type_symbol
_atom_site_fract_x
_atom_site_fract_y
_atom_site_fract_z
_atom_site_occupancy
Te1 Te 0.2500 0.2500 0.2500 1
Tc1 Tc 0.4962 0.4962 0.4962 1
Tc2 Tc 0.0038 0.0038 0.0038 1
Ni1 Ni 0.7500 0.7500 0.7500 1
```

---

Question: Number 2 is which compound?
Answer: TlGa4O8